# 1
A relaxed TbNdCdIn crystal. Source: Alexandria via LeMat-Bulk, functional GGA-PBE.

Cell: 5.402 5.402 5.402 Å, 60.00 60.00 60.00°
Positions (direct):
In (0.250, 0.250, 0.250)
Cd (0.750, 0.750, 0.750)
Nd (0.000, 0.000, 0.000)
Tb (0.500, 0.500, 0.500)

Values from the calculation:
- crystal system = cubic
- formation energy from the elements (eV/atom) = -0.4115
- energy (eV for the cell shown) = -14.7


# 2
A relaxed Tb2NdCd2In2 crystal. Source: Alexandria via LeMat-Bulk, functional GGA-PBE.

Cell: 4.970 4.970 9.518 Å, 74.87 74.87 60.00°
Positions (direct):
Tb (0.129, 0.129, 0.613)
Nd (0.000, 0.000, 0.000)
In (0.258, 0.258, 0.225)
Cd (0.597, 0.597, 0.208)
In (0.742, 0.742, 0.775)
Cd (0.403, 0.403, 0.792)
Tb (0.871, 0.871, 0.387)

Values from the calculation:
- crystal system = trigonal
- formation energy from the elements (eV/atom) = -0.2775
- energy (eV for the cell shown) = -23.3


# 3
A relaxed Nd4TlCdIn2 crystal. Source: Alexandria via LeMat-Bulk, functional GGA-PBE.

Cell: 5.492 5.492 9.518 Å, 73.23 73.23 60.00°
Positions (direct):
In (0.752, 0.752, 0.744)
In (0.248, 0.248, 0.256)
Nd (0.376, 0.376, 0.873)
Nd (0.126, 0.126, 0.623)
Nd (0.874, 0.874, 0.377)
Nd (0.624, 0.624, 0.127)
Cd (0.500, 0.500, 0.500)
Tl (0.000, 0.000, 0.000)

Values from the calculation:
- crystal system = trigonal
- formation energy from the elements (eV/atom) = -0.4290
- energy (eV for the cell shown) = -31.3